1.
! Ca2PaCdAs4 PBE-GGA optimized geometry; values from VASP
! - Space group: No. 139
! - ΔH_f (0 K): -787 meV per atom
&SYSTEM
  ibrav = 0, nat = 8, ntyp = 4
/
ATOMIC_SPECIES
Ca 40.08 Ca.upf
As 74.92 As.upf
Pa 231.04 Pa.upf
Cd 112.41 Cd.upf
ATOMIC_POSITIONS angstrom
Ca -1.8271 3.2540 1.2343
Ca 0.6605 1.0617 3.7265
As 0.9790 2.3860 1.1216
As -5.6467 0.0310 2.2134
As -2.1453 1.9298 3.8389
As -3.1604 -2.1601 4.7044
Pa -6.0068 -1.4521 4.7183
Cd -2.8021 -0.6774 2.2010
CELL_PARAMETERS angstrom
-5.6920 1.4176 0.0249
-0.7170 -2.9669 5.0092
4.4372 5.6704 0.5590

2.
! K6TeCl4 PBE-GGA optimized geometry; values from VASP
! - Space group: No. 63
! - E_form (uncorrected): -1.6714 eV/atom
&SYSTEM
  ibrav = 0, nat = 22, ntyp = 3
/
ATOMIC_SPECIES
Cl 35.45 Cl.upf
K 39.10 K.upf
Te 127.60 Te.upf
ATOMIC_POSITIONS angstrom
Cl 0.0000 6.0287 2.8369
Cl 2.3540 1.3973 14.1699
Cl 2.3540 1.3973 19.8292
Cl 0.0000 2.0477 0.8750
Cl 2.3540 5.3783 21.7911
Cl 2.3540 5.3783 12.2080
Cl 0.0000 6.0287 8.4962
Cl 0.0000 2.0477 10.4581
K 2.3540 6.7112 19.0045
K 0.0000 0.7148 3.6616
K 0.0000 4.7441 5.6665
K 2.3540 0.0000 0.0000
K 2.3540 0.0000 11.3330
K 0.0000 0.7148 7.6714
K 2.3540 6.7112 14.9947
K 2.3540 3.9664 9.3220
K 2.3540 3.9664 2.0111
K 0.0000 3.4595 20.6550
K 2.3540 2.6819 16.9996
K 0.0000 3.4595 13.3441
Te 2.3540 2.3451 5.6665
Te 0.0000 5.0809 16.9996
CELL_PARAMETERS angstrom
4.7080 0.0000 0.0000
-2.3540 7.4260 0.0000
0.0000 0.0000 22.6661

3.
! Nd4CdIn2Hg PBE-GGA optimized geometry; values from VASP
! - Space group: No. 166
! - ΔH_f (0 K): -446 meV per atom
&SYSTEM
  ibrav = 0, nat = 8, ntyp = 4
/
ATOMIC_SPECIES
In 114.82 In.upf
Cd 112.41 Cd.upf
Nd 144.24 Nd.upf
Hg 200.59 Hg.upf
ATOMIC_POSITIONS angstrom
In 2.7383 1.5810 2.1820
In 8.2150 4.7429 6.7534
Cd 0.0000 0.0000 0.0000
Nd 8.2150 4.7429 3.3848
Nd 5.4767 3.1620 1.1528
Nd 5.4767 3.1620 7.7826
Nd 2.7383 1.5810 5.5506
Hg 5.4767 3.1620 4.4677
CELL_PARAMETERS angstrom
5.4767 0.0000 0.0000
2.7383 4.7429 0.0000
2.7383 1.5810 8.9354

4.
! CrInCo2 PBE-GGA optimized geometry; values from VASP
! - Space group: No. 25
! - ΔH_f (0 K): 310 meV per atom
&SYSTEM
  ibrav = 0, nat = 4, ntyp = 3
/
ATOMIC_SPECIES
Cr 52.00 Cr.upf
In 114.82 In.upf
Co 58.93 Co.upf
ATOMIC_POSITIONS angstrom
Cr 0.0000 2.8020 2.4740
In 1.7260 4.2046 4.3024
Co 1.7260 1.4010 1.4918
Co 0.0000 2.8008 0.1922
CELL_PARAMETERS angstrom
3.4519 0.0000 0.0000
0.0000 2.8000 -0.0018
0.0000 2.8056 5.6432

5.
! K2SmInCl6 PBE-GGA optimized geometry; values from VASP
! - Space group: No. 146
! - E_form (uncorrected): -1.8846 eV/atom
&SYSTEM
  ibrav = 0, nat = 10, ntyp = 4
/
ATOMIC_SPECIES
In 114.82 In.upf
Cl 35.45 Cl.upf
K 39.10 K.upf
Sm 150.36 Sm.upf
ATOMIC_POSITIONS angstrom
In -12.2370 6.5431 -1.7138
Cl -11.0329 4.9558 0.6547
Cl -7.8980 6.8171 1.2562
Cl -5.0449 4.2573 -1.0439
Cl -8.1069 3.2267 2.1052
Cl -9.1775 6.5944 -3.0664
Cl -9.3836 1.5850 -1.8512
K -5.6842 3.3782 4.0907
K -8.2235 4.4113 -0.9543
Sm -3.7475 1.9339 -1.5358
CELL_PARAMETERS angstrom
-3.6605 6.2210 -2.8562
-7.3642 -0.5826 -2.3852
-5.8110 3.4731 4.4614

6.
! Ac4GeTe2P PBE-GGA optimized geometry; values from VASP
! - Space group: No. 10
! - E_form (uncorrected): -1.3959 eV/atom
&SYSTEM
  ibrav = 0, nat = 8, ntyp = 4
/
ATOMIC_SPECIES
Te 127.60 Te.upf
Ac 227.00 Ac.upf
Ge 72.64 Ge.upf
P 30.97 P.upf
ATOMIC_POSITIONS angstrom
Te 0.9258 4.5760 0.4747
Te -0.4851 2.1685 4.1254
Ac -1.7288 2.4748 0.9677
Ac -2.0457 4.9471 5.3318
Ac 2.1610 4.2794 3.6599
Ac -3.1313 0.0575 4.5910
Ge 0.0000 0.0000 0.0000
P -4.2152 0.6774 1.6994
CELL_PARAMETERS angstrom
-2.8043 3.0850 -1.9513
-5.6262 -1.7302 5.3501
4.6559 6.0671 2.9007

7.
! U2VPt9 PBE-GGA optimized geometry; values from VASP
! - Space group: No. 123
! - ΔH_f (0 K): -608 meV per atom
&SYSTEM
  ibrav = 0, nat = 12, ntyp = 3
/
ATOMIC_SPECIES
Pt 195.08 Pt.upf
U 238.03 U.upf
V 50.94 V.upf
ATOMIC_POSITIONS angstrom
Pt -1.1072 -0.8946 -2.5246
Pt 0.7635 -6.3754 0.2607
Pt 0.7484 -10.3273 1.6678
Pt -1.1216 -4.6578 -1.1847
Pt -1.1368 -8.6071 0.2214
Pt -1.9300 -9.9468 2.7076
Pt -1.9148 -5.9949 1.3006
Pt -1.8996 -2.0431 -0.1065
Pt 0.7787 -2.4236 -1.1463
U -0.0298 -7.7453 2.7577
U -0.0143 -3.7305 1.3282
V 0.0000 0.0000 0.0000
CELL_PARAMETERS angstrom
-3.7856 -0.5141 -1.4848
1.5712 -1.2751 -3.5644
-0.0441 -11.4758 4.0859

8.
! La6SeS2Br3 PBE-GGA optimized geometry; values from VASP
! - Space group: No. 12
! - E_form (uncorrected): -1.7109 eV/atom
&SYSTEM
  ibrav = 0, nat = 12, ntyp = 4
/
ATOMIC_SPECIES
Br 79.90 Br.upf
La 138.91 La.upf
Se 78.96 Se.upf
S 32.06 S.upf
ATOMIC_POSITIONS angstrom
Br 3.5884 -2.4346 -0.5978
Br 6.0088 1.1200 -0.5451
Br 1.1680 -5.9892 -0.6506
La 2.8792 0.6833 -0.4142
La 0.4254 -2.9204 -0.4677
La 6.7514 -1.9488 -0.7280
La 4.2641 -2.9392 2.4045
La 4.2976 -5.5524 -0.7814
La 2.9127 -1.9299 -3.6002
Se 0.0000 0.0000 0.0000
S 0.1619 -2.6303 -3.3054
S 2.5520 0.8797 -3.2533
CELL_PARAMETERS angstrom
-2.1885 -6.0820 -3.3566
4.9023 4.3314 -3.2021
4.4629 -3.1185 5.3631

9.
! Hf2Ga2Rh PBE-GGA optimized geometry; values from VASP
! - Space group: No. 12
! - ΔH_f (0 K): -636 meV per atom
! - Energy relative to the lowest polymorph listed for this composition: 0.0325 eV per atom
&SYSTEM
  ibrav = 0, nat = 10, ntyp = 3
/
ATOMIC_SPECIES
Hf 178.49 Hf.upf
Ga 69.72 Ga.upf
Rh 102.91 Rh.upf
ATOMIC_POSITIONS angstrom
Hf 2.4494 1.7128 6.9555
Hf 3.1417 3.3750 4.0163
Hf 3.9304 3.8428 9.3453
Hf 1.6607 1.2450 1.6265
Ga 1.6290 4.0957 1.7613
Ga 3.9621 0.9921 9.2105
Ga 0.9868 1.4097 4.4878
Ga 4.6043 3.6780 6.4841
Rh 3.1913 0.4874 3.8054
Rh 2.3997 4.6004 7.1664
CELL_PARAMETERS angstrom
3.8728 0.0000 0.9122
1.8252 5.0595 0.9283
-0.1069 0.0283 9.1314

10.
! Li2Mg5Cd5 PBE-GGA optimized geometry; values from VASP
! - Space group: No. 12
! - ΔH_f (0 K): -135 meV per atom
&SYSTEM
  ibrav = 0, nat = 12, ntyp = 3
/
ATOMIC_SPECIES
Mg 24.30 Mg.upf
Cd 112.41 Cd.upf
Li 6.94 Li.upf
ATOMIC_POSITIONS angstrom
Mg 4.3116 5.9893 6.9095
Mg 0.7872 1.4730 5.3448
Mg 3.1368 1.9248 3.3785
Mg 1.9621 5.5376 8.8757
Mg 0.0000 0.0000 0.0000
Cd 2.1596 0.9616 7.9512
Cd 3.4845 4.5875 1.7515
Cd 1.6144 2.8749 10.5028
Cd 2.9392 6.5008 4.3031
Cd 2.5494 3.7312 6.1271
Li 3.9258 3.1871 8.7150
Li 1.1731 4.2753 3.5393
CELL_PARAMETERS angstrom
3.6902 0.0000 0.7886
1.5805 6.9301 1.6327
-0.1718 0.5323 9.8330

11.
! Nb2AlReMo PBE-GGA optimized geometry; values from VASP
! - Space group: No. 123
! - ΔH_f (0 K): 1520 meV per atom
&SYSTEM
  ibrav = 0, nat = 5, ntyp = 4
/
ATOMIC_SPECIES
Nb 92.91 Nb.upf
Re 186.21 Re.upf
Al 26.98 Al.upf
Mo 95.94 Mo.upf
ATOMIC_POSITIONS angstrom
Nb 2.3170 0.0000 0.0000
Nb 0.0000 0.0000 2.3170
Re 2.3170 2.2020 2.3170
Al 0.0000 0.0000 0.0000
Mo 0.0000 2.2020 0.0000
CELL_PARAMETERS angstrom
4.6339 0.0000 0.0000
0.0000 4.4040 0.0000
0.0000 0.0000 4.6339

12.
! PmAlCuAu6 PBE-GGA optimized geometry; values from VASP
! - Space group: No. 74
! - ΔH_f (0 K): -245 meV per atom
&SYSTEM
  ibrav = 0, nat = 18, ntyp = 4
/
ATOMIC_SPECIES
Pm 145.00 Pm.upf
Au 196.97 Au.upf
Cu 63.55 Cu.upf
Al 26.98 Al.upf
ATOMIC_POSITIONS angstrom
Pm 0.8300 1.6358 3.3485
Pm -2.3824 3.4451 2.6034
Au -0.4185 1.9245 0.4934
Au 3.1884 3.8605 -0.0836
Au -1.9839 0.7517 4.3944
Au 0.7620 6.7448 -0.1902
Au 3.8305 1.5332 2.0808
Au -4.7408 1.2204 6.0355
Au 0.4314 4.3292 1.5575
Au -1.1339 3.1564 5.4584
Au -2.3144 -1.6639 6.1420
Au -5.3830 3.5477 3.8710
Au 2.2652 0.3605 5.9818
Au -3.8176 4.7205 -0.0299
Cu 0.8422 3.7530 -1.0574
Cu 3.6743 1.4235 -0.6213
Al -2.8320 2.3295 -0.4361
Al -4.4505 1.1170 3.5973
CELL_PARAMETERS angstrom
-5.6640 4.6590 -0.8721
-3.2369 -2.4251 8.0667
7.3485 2.8470 -1.2427